Record 1
First-principles (PBE) data for a geometry-optimized TlCu2Os structure, as listed in Alexandria via LeMat-Bulk.

Output
SG ... No. 35
Total energy ... -4.73 eV per atom
Energy above the most stable polymorph in this dataset ... 138.6 meV per atom
ΔH_f (0 K) ... 0.72 eV/atom

Cell: 2.8163 2.8163 9.1515 Å, 90.00 90.00 116.85°
Fractional coordinates of all 4 atoms:
Cu1 0.5000 0.5000 0.2434
Cu2 0.0000 0.0000 0.0294
Os1 0.0000 0.0000 0.4717
Tl1 0.5000 0.5000 0.7555

Record 2
First-principles (PBE) data for a geometry-optimized TlCu2Os structure, as listed in Alexandria via LeMat-Bulk.

Output
SG ... No. 12
Total energy ... -4.82 eV per atom
Energy above the most stable polymorph in this dataset ... 41.1 meV per atom
ΔH_f (0 K) ... 0.62 eV/atom

Cell: 4.7802 4.7802 4.8364 Å, 79.62 79.62 35.97°
Fractional coordinates of all 4 atoms:
Os1 0.7500 0.7500 0.7500
Cu1 0.0121 0.0121 0.9532
Cu2 0.4879 0.4879 0.5468
Tl1 0.2500 0.2500 0.2500

Record 3
First-principles (PBE) data for a geometry-optimized TlCu2Os structure, as listed in Alexandria via LeMat-Bulk.

Output
SG ... No. 71
Total energy ... -4.79 eV per atom
Energy above the most stable polymorph in this dataset ... 79.8 meV per atom
ΔH_f (0 K) ... 0.66 eV/atom

Cell: 5.3909 5.3909 5.3909 Å, 148.15 129.01 61.38°
Fractional coordinates of all 4 atoms:
Cu1 0.5157 0.5157 0.0000
Cu2 0.9843 0.9843 0.0000
Os1 0.7500 0.2500 0.5000
Tl1 0.2500 0.7500 0.5000

Record 4
First-principles (PBE) data for a geometry-optimized Tl2CuOs structure, as listed in Alexandria via LeMat-Bulk.

Output
SG ... No. 47
Total energy ... -4.09 eV per atom
Energy above the most stable polymorph in this dataset ... 252.5 meV per atom
ΔH_f (0 K) ... 0.92 eV/atom

Cell: 3.1522 5.3943 4.5819 Å, 90.00 90.00 90.00°
Fractional coordinates of all 4 atoms:
Os1 0.0000 0.5000 0.5000
Tl1 0.5000 0.5000 0.0000
Tl2 0.0000 0.0000 0.0000
Cu1 0.5000 0.0000 0.5000